# 1
Density functional theory data (PBE) for a relaxed structure of GeTe3.

Calculated values
Calculated volume in Å³/cell: 249.2
Excess energy over the best structure of this formula in the dataset in meV per atom: 134
Total energy in eV for the cell shown: -26.93

a = 4.117 Å, b = 8.231 Å, c = 7.355 Å
α = 90.00°, β = 90.00°, γ = 90.00°
Space group Imm2 (No. 44)
One atom of each set of equivalent atoms:
Ge  0.000  0.000  0.000 [2 per cell]
Te  0.000  0.257  0.341 [4 per cell]
Te  0.000  0.500  0.059 [2 per cell]

=====

# 2
Density functional theory data (PBE) for a relaxed structure of GeTe.

Calculated values
Calculated volume in Å³/cell: 515.2
Total energy in eV for the cell shown: -62.54

a = 4.896 Å, b = 8.711 Å, c = 12.082 Å
α = 90.00°, β = 90.00°, γ = 90.00°
Space group P2_12_12_1 (No. 19)
One atom of each set of equivalent atoms:
Ge  0.171  0.070  0.013 [4 per cell]
Ge  0.211  0.410  0.387 [4 per cell]
Te  0.017  0.272  0.856 [4 per cell]
Te  0.046  0.607  0.092 [4 per cell]

=====

# 3
Density functional theory data (PBE) for a relaxed structure of GeTe.

Calculated values
Calculated volume in Å³/cell: 49.8
Total energy in eV for the cell shown: -7.28

a = 3.679 Å, b = 3.679 Å, c = 3.679 Å
α = 90.00°, β = 90.00°, γ = 90.00°
Space group Pm-3m (No. 221)
One atom of each set of equivalent atoms:
Ge  0.000  0.000  0.000 [1 per cell]
Te  0.500  0.500  0.500 [1 per cell]

=====

# 4
Density functional theory data (PBE) for a relaxed structure of GeTe.

Calculated values
Calculated volume in Å³/cell: 195.6
Total energy in eV for the cell shown: -23.10

a = 5.1144 Å, b = 5.1144 Å, c = 8.6344 Å
α = 90.00°, β = 90.00°, γ = 120.00°
Space group R3m (No. 160, hexagonal axes)
One atom of each set of equivalent atoms:
Ge  0.0000  0.0000  0.0000 [3 per cell]
Te  0.0000  0.0000  0.3202 [3 per cell]

=====

# 5
Density functional theory data (PBE) for a relaxed structure of GeTe.

Calculated values
Calculated volume in Å³/cell: 308.4
Total energy in eV for the cell shown: -29.77

a = 6.756 Å, b = 6.756 Å, c = 6.756 Å
α = 90.00°, β = 90.00°, γ = 90.00°
Space group F-43m (No. 216)
One atom of each set of equivalent atoms:
Ge  0.000  0.000  0.000 [4 per cell]
Te  0.250  0.250  0.750 [4 per cell]

=====

# 6
Density functional theory data (PBE) for a relaxed structure of GeTe4.

Calculated values
Calculated volume in Å³/cell: 158.9
Total energy in eV for the cell shown: -14.55

a = 5.416 Å, b = 5.416 Å, c = 5.416 Å
α = 90.00°, β = 90.00°, γ = 90.00°
Space group Pm-3m (No. 221)
One atom of each set of equivalent atoms:
Ge  0.000  0.000  0.000 [1 per cell]
Te  0.000  0.000  0.500 [3 per cell]
Te  0.500  0.500  0.500 [1 per cell]

=====

# 7
Density functional theory data (PBE) for a relaxed structure of Ge3Te.

Calculated values
Calculated volume in Å³/cell: 181.6
Excess energy over the best structure of this formula in the dataset in meV per atom: 150
Total energy in eV for the cell shown: -31.15

a = 4.128 Å, b = 4.128 Å, c = 10.657 Å
α = 90.00°, β = 90.00°, γ = 90.00°
Space group I4/mmm (No. 139)
One atom of each set of equivalent atoms:
Ge  0.000  0.000  0.000 [2 per cell]
Ge  0.000  0.500  0.250 [4 per cell]
Te  0.000  0.000  0.500 [2 per cell]

=====

# 8
Density functional theory data (PBE) for a relaxed structure of Ge5Te6.

Calculated values
Calculated volume in Å³/cell: 616.0
Total energy in eV for the cell shown: -84.83

a = 7.130 Å, b = 12.646 Å, c = 7.238 Å
α = 90.00°, β = 109.26°, γ = 90.00°
Space group C2/m (No. 12)
One atom of each set of equivalent atoms:
Ge  0.000  0.000  0.000 [2 per cell]
Ge  0.000  0.155  0.500 [4 per cell]
Ge  0.000  0.314  0.000 [4 per cell]
Te  0.244  0.336  0.746 [8 per cell]
Te  0.247  0.500  0.248 [4 per cell]

=====

# 9
Density functional theory data (PBE) for a relaxed structure of GeTe.

Calculated values
Calculated volume in Å³/cell: 619.5
Total energy in eV for the cell shown: -62.08

a = 14.467 Å, b = 10.548 Å, c = 4.059 Å
α = 90.00°, β = 90.00°, γ = 90.00°
Space group Pbcn (No. 60)
One atom of each set of equivalent atoms:
Ge  0.247  0.104  0.010 [8 per cell]
Te  0.129  0.184  0.510 [8 per cell]

=====

# 10
Density functional theory data (PBE) for a relaxed structure of GeTe.

Calculated values
Calculated volume in Å³/cell: 249.7
Total energy in eV for the cell shown: -31.79

a = 7.025 Å, b = 4.062 Å, c = 9.065 Å
α = 90.00°, β = 105.14°, γ = 90.00°
Space group C2/m (No. 12)
One atom of each set of equivalent atoms:
Ge  0.130  0.000  0.392 [4 per cell]
Te  0.094  0.500  0.779 [4 per cell]

=====

# 11
Density functional theory data (PBE) for a relaxed structure of GeTe.

Calculated values
Calculated volume in Å³/cell: 140.2
Total energy in eV for the cell shown: -15.39

a = 5.0915 Å, b = 5.0915 Å, c = 6.2447 Å
α = 90.00°, β = 90.00°, γ = 120.00°
Space group P6_3mc (No. 186)
One atom of each set of equivalent atoms:
Ge  0.3333  0.6667  0.0000 [2 per cell]
Te  0.3333  0.6667  0.4488 [2 per cell]

=====

# 12
Density functional theory data (PBE) for a relaxed structure of GeTe.

Calculated values
Calculated volume in Å³/cell: 246.5
Total energy in eV for the cell shown: -31.80

a = 7.019 Å, b = 4.056 Å, c = 8.976 Å
α = 90.00°, β = 105.26°, γ = 90.00°
Space group C2/m (No. 12)
One atom of each set of equivalent atoms:
Ge  0.203  0.000  0.109 [4 per cell]
Te  0.095  0.500  0.282 [4 per cell]